First-principles (PBE) data for an optimized crystal structure of Tl2Cd2Br5, as listed in Alexandria via LeMat-Bulk.

Summary:
* SG: C2/m
* energy: -2.380 eV per atom

Structure (CIF):
```
data_Tl2Cd2Br5
_chemical_formula_sum 'Tl2 Cd2 Br5'
_symmetry_space_group_name_H-M 'P 1'
_symmetry_Int_Tables_number 1
_cell_length_a 5.763
_cell_length_b 8.151
_cell_length_c 8.175
_cell_angle_alpha 113.91
_cell_angle_beta 90.00
_cell_angle_gamma 110.70
loop_
_symmetry_equiv_pos_as_xyz
'x,y,z'
loop_
_atom_site_label
_atom_site_type_symbol
_atom_site_fract_x
_atom_site_fract_y
_atom_site_fract_z
Tl1 Tl 0.388 0.776 0.702
Tl2 Tl 0.612 0.224 0.298
Cd1 Cd 0.142 0.283 0.865
Cd2 Cd 0.858 0.717 0.135
Br1 Br 0.353 0.706 0.101
Br2 Br 0.647 0.294 0.899
Br3 Br 0.151 0.302 0.537
Br4 Br 0.849 0.698 0.463
Br5 Br 0.000 0.000 0.000
```

---

First-principles (PBE) data for an optimized crystal structure of BaSrY2, as listed in Alexandria via LeMat-Bulk.

Summary:
* formation energy from the elements: 0.14 eV per atom
* relative energy among the computed polymorphs: 0.00 eV/f.u.
* SG: P4mm

Structure (CIF):
```
data_BaSrY2
_chemical_formula_sum 'Ba1 Sr1 Y2'
_symmetry_space_group_name_H-M 'P 1'
_symmetry_Int_Tables_number 1
_cell_length_a 3.948
_cell_length_b 3.948
_cell_length_c 11.024
_cell_angle_alpha 90.00
_cell_angle_beta 90.00
_cell_angle_gamma 90.00
loop_
_symmetry_equiv_pos_as_xyz
'x,y,z'
loop_
_atom_site_label
_atom_site_type_symbol
_atom_site_fract_x
_atom_site_fract_y
_atom_site_fract_z
Ba1 Ba 0.000 0.000 0.473
Sr1 Sr 0.500 0.500 0.782
Y1 Y 0.000 0.000 0.028
Y2 Y 0.500 0.500 0.217
```

---

First-principles (PBE) data for an optimized crystal structure of Ac3AlAs2Pt9, as listed in Alexandria via LeMat-Bulk.

Summary:
* formation energy from the elements: -0.73 eV per atom
* SG: P-3m1

Structure (CIF):
```
data_Ac3AlAs2Pt9
_chemical_formula_sum 'Ac3 Al1 As2 Pt9'
_symmetry_space_group_name_H-M 'P 1'
_symmetry_Int_Tables_number 1
_cell_length_a 6.607
_cell_length_b 6.607
_cell_length_c 9.006
_cell_angle_alpha 90.00
_cell_angle_beta 90.00
_cell_angle_gamma 120.00
loop_
_symmetry_equiv_pos_as_xyz
'x,y,z'
loop_
_atom_site_label
_atom_site_type_symbol
_atom_site_fract_x
_atom_site_fract_y
_atom_site_fract_z
Ac1 Ac 0.333 0.667 0.687
Ac2 Ac 0.000 0.000 0.000
Ac3 Ac 0.667 0.333 0.313
Al1 Al 0.000 0.000 0.500
As1 As 0.333 0.667 0.187
As2 As 0.667 0.333 0.813
Pt1 Pt 0.859 0.141 0.710
Pt2 Pt 0.859 0.719 0.710
Pt3 Pt 0.281 0.141 0.710
Pt4 Pt 0.719 0.859 0.290
Pt5 Pt 0.141 0.281 0.290
Pt6 Pt 0.141 0.859 0.290
Pt7 Pt 0.500 0.000 0.000
Pt8 Pt 0.000 0.500 0.000
Pt9 Pt 0.500 0.500 0.000
```

---

First-principles (PBE) data for an optimized crystal structure of SmGeAu4, as listed in Alexandria via LeMat-Bulk.

Summary:
* formation energy from the elements: -0.33 eV per atom
* SG: F-43m

Structure (CIF):
```
data_SmGeAu4
_chemical_formula_sum 'Sm1 Ge1 Au4'
_symmetry_space_group_name_H-M 'P 1'
_symmetry_Int_Tables_number 1
_cell_length_a 5.612
_cell_length_b 5.612
_cell_length_c 5.612
_cell_angle_alpha 60.00
_cell_angle_beta 60.00
_cell_angle_gamma 60.00
loop_
_symmetry_equiv_pos_as_xyz
'x,y,z'
loop_
_atom_site_label
_atom_site_type_symbol
_atom_site_fract_x
_atom_site_fract_y
_atom_site_fract_z
Ge1 Ge 0.000 0.000 0.000
Au1 Au 0.625 0.625 0.125
Au2 Au 0.625 0.125 0.625
Au3 Au 0.625 0.625 0.625
Au4 Au 0.125 0.625 0.625
Sm1 Sm 0.250 0.250 0.250
```